First-principles (PBE) data for a geometry-optimized TeRh2Cl structure, as listed in Alexandria via LeMat-Bulk.

Calculated values
- total magnetic moment (μB per atom) = 0.0000
- theoretical density (g/cm3) = 8.4
- space-group type = No. 123
- total DFT energy (no corrections) (eV for the cell shown) = -19.2
- ΔE_f (raw) (kJ/mol of formula units) = 46

Geometry as POSCAR:
```
TeRh2Cl
1.0
3.296 0.000 0.000
0.000 3.296 0.000
0.000 0.000 6.709
Te Rh Cl
1 2 1
direct
0.000 0.000 0.000
0.500 0.500 0.212
0.500 0.500 0.788
0.000 0.000 0.500
```